## Ac12La3Y (PBE-GGA)

Data for an optimized crystal structure of Ac12La3Y.

The structure in POSCAR format:
```
Ac12La3Y
1.0
5.551 0.000 0.000
0.000 5.551 0.000
0.000 0.000 22.145
Ac La Y
12 3 1
direct
0.000 0.000 0.000 Ac
0.000 0.000 0.249 Ac
0.000 0.000 0.500 Ac
0.000 0.000 0.751 Ac
0.000 0.500 0.123 Ac
0.000 0.500 0.374 Ac
0.000 0.500 0.626 Ac
0.000 0.500 0.877 Ac
0.500 0.000 0.123 Ac
0.500 0.000 0.374 Ac
0.500 0.000 0.626 Ac
0.500 0.000 0.877 Ac
0.500 0.500 0.249 La
0.500 0.500 0.500 La
0.500 0.500 0.751 La
0.500 0.500 0.000 Y
```

Values from the calculation:
size of the total moment = 0.0 Bohr magnetons per cell
calculated volume = 682.3 Å³ per cell
formation energy = 0.0207 eV/atom
crystal system = tetragonal